# Na2ZnCrF6, optimized geometry, DFT GGA+U
# crystal system = monoclinic
# total energy = -4.8427 eV per atom
# volume = 256.9 Å³ per cell
data_Na2ZnCrF6
_chemical_formula_sum 'Na4 Zn2 Cr2 F12'
_symmetry_space_group_name_H-M 'P 1 21/c 1'
_symmetry_Int_Tables_number 14
_symmetry_space_group_name_Hall '-P 2ybc'
_cell_length_a 5.4536
_cell_length_b 5.6729
_cell_length_c 9.8451
_cell_angle_alpha 90.00
_cell_angle_beta 122.51
_cell_angle_gamma 90.00
loop_
_atom_site_label
_atom_site_fract_x
_atom_site_fract_y
_atom_site_fract_z
Na1 0.2229 0.0561 0.2429
Zn1 0.5000 0.0000 0.0000
Cr1 0.0000 0.0000 0.5000
F1 0.1370 0.2045 0.9437
F2 0.2247 0.7001 0.9289
F3 0.3914 0.0537 0.7729